Entry 1:
{
  "formula": "CdReSeS2",
  "functional": "PBE",
  "state": "relaxed",
  "n_ef_per_ev_fu": 5.6,
  "formation_energy_uncorrected_mev_per_atom": 1561,
  "spacegroup": "No. 123",
  "lattice_angstrom": [[4.8459, 0.0000, 0.0000], [0.0000, 4.8459, 0.0000], [0.0000, 0.0000, 5.3116]],
  "species": ["Cd", "Re", "Se", "S", "S"],
  "fractional_positions": [[0.0000, 0.0000, 0.0000], [0.5000, 0.5000, 0.5000], [0.0000, 0.0000, 0.5000], [0.0000, 0.5000, 0.0000], [0.5000, 0.0000, 0.0000]]
}


Entry 2:
{
  "formula": "YEr6",
  "functional": "PBE",
  "state": "relaxed",
  "relative_energy_ev_per_atom": 1.278,
  "n_ef_per_ev_fu": 9.1,
  "spacegroup": "No. 229",
  "lattice_angstrom": [[-4.0260, 4.0260, 4.0260], [4.0260, -4.0260, 4.0260], [4.0260, 4.0260, -4.0260]],
  "species": ["Y", "Er", "Er", "Er", "Er", "Er", "Er"],
  "fractional_positions": [[0.0000, 0.0000, 0.0000], [0.2500, 0.5000, 0.7500], [0.2500, 0.7500, 0.5000], [0.5000, 0.2500, 0.7500], [0.5000, 0.7500, 0.2500], [0.7500, 0.2500, 0.5000], [0.7500, 0.5000, 0.2500]]
}